# PBE+U TlVSn2F8, optimized geometry
data_TlVSn2F8
_cell_length_a 5.310
_cell_length_b 5.132
_cell_length_c 8.002
_cell_angle_alpha 86.81
_cell_angle_beta 83.61
_cell_angle_gamma 88.95
_space_group_name_H-M_alt 'P 1'
_space_group_IT_number 1
loop_
_space_group_symop_operation_xyz
'x,y,z'
loop_
_atom_site_label
_atom_site_type_symbol
_atom_site_fract_x
_atom_site_fract_y
_atom_site_fract_z
F1 F 0.189 0.820 0.173
F2 F 0.386 0.282 0.580
F3 F 0.287 0.254 0.944
F4 F 0.143 0.768 0.821
F5 F 0.713 0.746 0.056
F6 F 0.811 0.180 0.827
F7 F 0.614 0.718 0.420
F8 F 0.857 0.232 0.179
Sn1 Sn 0.513 0.512 0.760
Sn2 Sn 0.487 0.488 0.240
Tl1 Tl 0.000 0.000 0.500
V1 V 0.000 0.000 0.000
# V (Å³/atom): 18.028
# Final energy (eV for the cell shown): -61.5
# Total magnetization (μB/cell): 2.00
# N(E_F) (states/eV/atom): 0.00